A relaxed structure of Si2AuBr, computed with GGA-PBE.

Computed properties:
Total moment in μB/atom: 0.0000
Calculated total energy in eV/cell: -14.83

Lattice parameters (Å, degrees): 4.184 4.182 5.759 95.12 90.00 90.00
Positions (direct):
Si (0.000, 0.967, 0.129)
Au (0.500, 0.250, 0.250)
Si (0.000, 0.533, 0.371)
Br (0.500, 0.750, 0.750)